Run P
# LiDyYAg | Alexandria via LeMat-Bulk | PBE-GGA | optimized geometry
data_LiDyYAg
_symmetry_space_group_name_H-M 'P 1'
_symmetry_Int_Tables_number 1
_cell_length_a 5.168
_cell_length_b 5.168
_cell_length_c 5.168
_cell_angle_alpha 60.00
_cell_angle_beta 60.00
_cell_angle_gamma 60.00
loop_
_symmetry_equiv_pos_as_xyz
'x,y,z'
loop_
_atom_site_label
_atom_site_type_symbol
_atom_site_fract_x
_atom_site_fract_y
_atom_site_fract_z
Li1 Li 0.000 0.000 0.000
Dy1 Dy 0.750 0.750 0.750
Y1 Y 0.250 0.250 0.250
Ag1 Ag 0.500 0.500 0.500
# **Density of states at the Fermi level**: 3.752 states/eV/f.u.

---

Run Q
# LiDyYAg | Alexandria via LeMat-Bulk | PBE-GGA | optimized geometry
data_LiDyYAg
_symmetry_space_group_name_H-M 'P 1'
_symmetry_Int_Tables_number 1
_cell_length_a 3.690
_cell_length_b 5.118
_cell_length_c 5.160
_cell_angle_alpha 90.00
_cell_angle_beta 90.00
_cell_angle_gamma 90.00
loop_
_symmetry_equiv_pos_as_xyz
'x,y,z'
loop_
_atom_site_label
_atom_site_type_symbol
_atom_site_fract_x
_atom_site_fract_y
_atom_site_fract_z
Li1 Li 0.000 0.000 0.000
Dy1 Dy 0.500 0.000 0.500
Y1 Y 0.500 0.500 0.000
Ag1 Ag 0.000 0.500 0.500
# **Density of states at the Fermi level**: 3.146 states/eV/f.u.

---

Which is most stable, and by how much? run Q, by 11 meV/atom.

---

Run P
# DyLu2Ag | Alexandria via LeMat-Bulk | PBE-GGA | optimized geometry
data_DyLu2Ag
_symmetry_space_group_name_H-M 'P 1'
_symmetry_Int_Tables_number 1
_cell_length_a 3.499
_cell_length_b 3.499
_cell_length_c 8.740
_cell_angle_alpha 90.00
_cell_angle_beta 90.00
_cell_angle_gamma 90.00
loop_
_symmetry_equiv_pos_as_xyz
'x,y,z'
loop_
_atom_site_label
_atom_site_type_symbol
_atom_site_fract_x
_atom_site_fract_y
_atom_site_fract_z
Dy1 Dy 0.000 0.000 0.000
Lu1 Lu 0.500 0.500 0.287
Lu2 Lu 0.500 0.500 0.713
Ag1 Ag 0.000 0.000 0.500
# **Density of states at the Fermi level**: 4.709 states/eV/f.u.

---

Run Q
# DyLu2Ag | Alexandria via LeMat-Bulk | PBE-GGA | optimized geometry
data_DyLu2Ag
_symmetry_space_group_name_H-M 'P 1'
_symmetry_Int_Tables_number 1
_cell_length_a 10.484
_cell_length_b 10.484
_cell_length_c 10.484
_cell_angle_alpha 19.20
_cell_angle_beta 19.20
_cell_angle_gamma 19.20
loop_
_symmetry_equiv_pos_as_xyz
'x,y,z'
loop_
_atom_site_label
_atom_site_type_symbol
_atom_site_fract_x
_atom_site_fract_y
_atom_site_fract_z
Dy1 Dy 0.000 0.000 0.000
Lu1 Lu 0.241 0.241 0.241
Lu2 Lu 0.759 0.759 0.759
Ag1 Ag 0.500 0.500 0.500
# **Density of states at the Fermi level**: 4.563 states/eV/f.u.

---

Run R
# DyLu2Ag | Alexandria via LeMat-Bulk | PBE-GGA | optimized geometry
data_DyLu2Ag
_symmetry_space_group_name_H-M 'P 1'
_symmetry_Int_Tables_number 1
_cell_length_a 4.696
_cell_length_b 4.696
_cell_length_c 4.752
_cell_angle_alpha 90.00
_cell_angle_beta 90.00
_cell_angle_gamma 90.00
loop_
_symmetry_equiv_pos_as_xyz
'x,y,z'
loop_
_atom_site_label
_atom_site_type_symbol
_atom_site_fract_x
_atom_site_fract_y
_atom_site_fract_z
Dy1 Dy 0.000 0.000 0.000
Lu1 Lu 0.000 0.500 0.500
Lu2 Lu 0.500 0.000 0.500
Ag1 Ag 0.500 0.500 0.000
# **Density of states at the Fermi level**: 5.777 states/eV/f.u.

---

Which is most stable, and by how much? run P, by 121 meV/atom.

---

Run P
# Dy4MgAg3 | Alexandria via LeMat-Bulk | PBE-GGA | optimized geometry
data_Dy4MgAg3
_symmetry_space_group_name_H-M 'P 1'
_symmetry_Int_Tables_number 1
_cell_length_a 3.586
_cell_length_b 4.861
_cell_length_c 11.591
_cell_angle_alpha 90.00
_cell_angle_beta 90.00
_cell_angle_gamma 90.00
loop_
_symmetry_equiv_pos_as_xyz
'x,y,z'
loop_
_atom_site_label
_atom_site_type_symbol
_atom_site_fract_x
_atom_site_fract_y
_atom_site_fract_z
Dy1 Dy 0.000 0.000 0.000
Dy2 Dy 0.000 0.500 0.289
Dy3 Dy 0.500 0.000 0.479
Dy4 Dy 0.500 0.500 0.808
Mg1 Mg 0.000 0.000 0.713
Ag1 Ag 0.000 0.500 0.568
Ag2 Ag 0.500 0.000 0.218
Ag3 Ag 0.500 0.500 0.072
# **Density of states at the Fermi level**: 8.155 states/eV/f.u.

---

Run Q
# Dy4MgAg3 | Alexandria via LeMat-Bulk | PBE-GGA | optimized geometry
data_Dy4MgAg3
_symmetry_space_group_name_H-M 'P 1'
_symmetry_Int_Tables_number 1
_cell_length_a 3.676
_cell_length_b 5.183
_cell_length_c 10.355
_cell_angle_alpha 90.00
_cell_angle_beta 90.00
_cell_angle_gamma 90.00
loop_
_symmetry_equiv_pos_as_xyz
'x,y,z'
loop_
_atom_site_label
_atom_site_type_symbol
_atom_site_fract_x
_atom_site_fract_y
_atom_site_fract_z
Dy1 Dy 0.000 0.000 0.000
Dy2 Dy 0.000 0.000 0.500
Dy3 Dy 0.000 0.500 0.242
Dy4 Dy 0.000 0.500 0.758
Mg1 Mg 0.500 0.500 0.500
Ag1 Ag 0.500 0.000 0.259
Ag2 Ag 0.500 0.000 0.741
Ag3 Ag 0.500 0.500 0.000
# **Density of states at the Fermi level**: 6.147 states/eV/f.u.

---

Which is most stable, and by how much? run Q, by 53 meV/atom.